Entry from the Alexandria database: a geometry-optimized Pu3U2Ru7 structure (PBE).

Cell lengths 4.430, 5.116, 9.372 Å; angles 93.52, 90.00, 90.00 degrees
Positions (direct):
Pu  0.500  0.500  0.000
Pu  0.500  0.425  0.380
Pu  0.500  0.575  0.620
U  0.000  0.824  0.720
U  0.000  0.176  0.280
Ru  0.000  0.422  0.855
Ru  0.000  0.751  0.429
Ru  0.000  0.000  0.000
Ru  0.000  0.578  0.145
Ru  0.500  0.893  0.215
Ru  0.500  0.107  0.785
Ru  0.000  0.249  0.571

## Properties
volume	212.00	Å³/cell
ΔH_f (0 K)	0.24	eV per atom

---

Entry from the Alexandria database: a geometry-optimized Sm4Tm3Th2 structure (PBE).

Cell lengths 3.562, 3.562, 26.686 Å; angles 90.00, 90.00, 120.00 degrees
Positions (direct):
Sm  0.000  0.000  0.545
Sm  0.667  0.333  0.432
Sm  0.667  0.333  0.219
Sm  0.000  0.000  0.761
Tm  0.000  0.000  0.982
Tm  0.000  0.000  0.324
Tm  0.667  0.333  0.652
Th  0.667  0.333  0.089
Th  0.667  0.333  0.873

## Properties
volume	293.15	Å³/cell
ΔH_f (0 K)	0.07	eV per atom
excess energy over the best structure of this formula in the dataset	0	meV/atom

---

Entry from the Alexandria database: a geometry-optimized PrEr5Tm3 structure (PBE).

Cell lengths 9.282, 9.282, 12.841 Å; angles 50.73, 50.73, 50.34 degrees
Positions (direct):
Pr  0.897  0.897  0.866
Pr  0.103  0.103  0.134
Er  0.924  0.508  0.220
Er  0.322  0.678  0.000
Er  0.628  0.628  0.073
Er  0.444  0.444  0.435
Er  0.556  0.556  0.565
Er  0.372  0.372  0.927
Er  0.508  0.924  0.220
Er  0.678  0.322  0.000
Er  0.076  0.492  0.780
Er  0.492  0.076  0.780
Tm  0.696  0.696  0.681
Tm  0.828  0.828  0.338
Tm  0.000  0.000  0.000
Tm  0.000  0.000  0.500
Tm  0.304  0.304  0.319
Tm  0.172  0.172  0.662

## Properties
volume	608.83	Å³/cell
ΔH_f (0 K)	0.43	eV per atom
excess energy over the best structure of this formula in the dataset	111	meV/atom

---

Entry from the Alexandria database: a geometry-optimized ErThScCd structure (PBE).

Cell lengths 5.373, 5.373, 5.373 Å; angles 60.00, 60.00, 60.00 degrees
Positions (direct):
Sc  0.250  0.250  0.250
Cd  0.750  0.750  0.750
Th  0.000  0.000  0.000
Er  0.500  0.500  0.500

## Properties
volume	109.70	Å³/cell
ΔH_f (0 K)	0.02	eV per atom
excess energy over the best structure of this formula in the dataset	178	meV/atom

---

Entry from the Alexandria database: a geometry-optimized ZrU4C5 structure (PBE).

Cell lengths 3.437, 4.886, 9.245 Å; angles 105.32, 100.71, 90.00 degrees
Positions (direct):
Zr  0.000  0.000  0.000
U  0.402  0.402  0.803
U  0.802  0.802  0.604
U  0.198  0.198  0.396
U  0.598  0.598  0.197
C  0.598  0.098  0.196
C  0.800  0.300  0.601
C  0.200  0.700  0.399
C  0.000  0.500  0.000
C  0.402  0.902  0.804

## Properties
volume	146.95	Å³/cell
ΔH_f (0 K)	-0.27	eV per atom

---

Entry from the Alexandria database: a geometry-optimized FeAs2W structure (PBE).

Cell lengths 5.608, 5.608, 6.505 Å; angles 64.47, 64.47, 90.00 degrees
Positions (direct):
As  0.598  0.125  0.250
As  0.152  0.625  0.250
As  0.375  0.402  0.750
As  0.875  0.848  0.750
Fe  0.500  0.500  0.000
Fe  0.250  0.750  0.500
W  0.000  0.000  0.000
W  0.750  0.250  0.500

## Properties
volume	162.17	Å³/cell
ΔH_f (0 K)	0.65	eV per atom
excess energy over the best structure of this formula in the dataset	581	meV/atom

---

Entry from the Alexandria database: a geometry-optimized Dy2HgO2 structure (PBE).

Cell lengths 3.989, 3.989, 6.581 Å; angles 107.64, 107.64, 90.00 degrees
Positions (direct):
Dy  0.660  0.660  0.321
Dy  0.340  0.340  0.679
Hg  0.000  0.000  0.000
O  0.750  0.250  0.500
O  0.250  0.750  0.500

## Properties
formation energy from raw total energies	-2.525	eV per atom
volume	94.63	Å³/cell

---

Entry from the Alexandria database: a geometry-optimized Ag2B2Pt3 structure (PBE).

Cell lengths 3.269, 5.467, 6.145 Å; angles 78.38, 74.57, 72.60 degrees
Positions (direct):
Ag  0.158  0.492  0.193
Ag  0.842  0.508  0.807
B  0.112  0.041  0.735
B  0.888  0.959  0.265
Pt  0.500  0.000  0.000
Pt  0.374  0.787  0.465
Pt  0.626  0.213  0.535

## Properties
volume	100.13	Å³/cell
ΔH_f (0 K)	-0.03	eV per atom